Entry from Alexandria: TaFe2TcF after structural relaxation (GGA+U).

Computed properties:
The density of states at the Fermi level comes out at 2.7 states/eV per cell. The total energy comes out at -33.9 eV per cell. The calculated volume comes out at 74 Å³/f.u.

Cell: 4.134 4.310 4.134 Å, 90.00 90.00 90.00°
Last column: magnetic moment on the atom in μB.
Sites, in units of the cell vectors:
Tc 0.500 0.500 0.500  -0.25
Fe 0.500 0.000 0.000  3.54
Fe 0.000 0.000 0.500  3.60
Ta 0.000 0.500 0.000  0.00
F 0.000 0.000 0.000  0.09